[1]
Below is a relaxed structure of Tb5PmNdTm2, with properties calculated at the PBE-GGA level.

abc: 5.619 19.937 10.581
angles: 90.00 90.00 90.00
Space group Cmc2_1 (No. 36)
One atom of each set of equivalent atoms:
Tb 0.000 0.017 0.000 x4
Tb 0.000 0.281 0.285 x4
Tb 0.000 0.299 0.683 x4
Tb 0.000 0.391 0.999 x4
Tb 0.000 0.478 0.711 x4
Pm 0.000 0.201 0.987 x4
Nd 0.000 0.416 0.424 x4
Tm 0.000 0.111 0.710 x4
Tm 0.000 0.114 0.295 x4

Energy of formation in meV per atom: 159
Raw total energy in eV/cell: -160.73

***

[2]
Below is a relaxed structure of PmCrAs2, with properties calculated at the PBE-GGA level.

abc: 3.3208 3.3208 29.2667
angles: 90.00 90.00 120.00
Space group R-3m (No. 166, hexagonal axes)
One atom of each set of equivalent atoms:
Pm 0.0000 0.0000 0.0000 x3
Cr 0.0000 0.0000 0.5000 x3
As 0.0000 0.0000 0.4155 x6

Offset from the most stable computed form in meV/atom: 577
Energy of formation in meV per atom: 188
Raw total energy in eV/cell: -68.76